Record 1
{"formula": "ZrTc2Sn", "functional": "GGA-PBE", "state": "relaxed", "cell": [[4.5386, 0.0000, 0.0000], [0.0000, 4.5386, 0.0000], [0.0000, 0.0000, 3.3948]], "species": ["Zr", "Tc", "Tc", "Sn"], "fractional_positions": [[0.0000, 0.0000, 0.0000], [0.0000, 0.5000, 0.5000], [0.5000, 0.0000, 0.5000], [0.5000, 0.5000, 0.0000]], "magmom_total_mub_per_cell": 0.607, "formation_energy_ev_per_atom": -0.20}


Record 2
{"formula": "Zr6TcSn2", "functional": "GGA-PBE", "state": "relaxed", "cell": [[8.0701, 0.0000, 0.0000], [-4.0351, 6.9889, 0.0000], [0.0000, 0.0000, 3.5177]], "species": ["Zr", "Zr", "Zr", "Zr", "Zr", "Zr", "Tc", "Sn", "Sn"], "fractional_positions": [[0.0000, 0.2522, 0.0000], [0.0000, 0.6053, 0.5000], [0.2522, 0.0000, 0.0000], [0.3947, 0.3947, 0.5000], [0.6053, 0.0000, 0.5000], [0.7478, 0.7478, 0.0000], [0.0000, 0.0000, 0.5000], [0.3333, 0.6667, 0.0000], [0.6667, 0.3333, 0.0000]], "magmom_total_mub_per_cell": 0.000, "formation_energy_ev_per_atom": -0.40}


Record 3
{"formula": "ZrTcSn4", "functional": "GGA-PBE", "state": "relaxed", "cell": [[-3.4193, 3.4193, 5.8049], [3.4193, -3.4193, 5.8049], [3.4193, 3.4193, -5.8049]], "species": ["Zr", "Zr", "Tc", "Tc", "Sn", "Sn", "Sn", "Sn", "Sn", "Sn", "Sn", "Sn"], "fractional_positions": [[0.0000, 0.0000, 0.0000], [0.5000, 0.5000, 0.0000], [0.2500, 0.2500, 0.0000], [0.7500, 0.7500, 0.0000], [0.0137, 0.5137, 0.8075], [0.2062, 0.0137, 0.5000], [0.2938, 0.7938, 0.8075], [0.4863, 0.2938, 0.5000], [0.5137, 0.7062, 0.5000], [0.7062, 0.2062, 0.1925], [0.7938, 0.9863, 0.5000], [0.9863, 0.4863, 0.1925]], "magmom_total_mub_per_cell": 0.000, "formation_energy_ev_per_atom": -0.20}


Record 4
{"formula": "ZrTc3Sn", "functional": "GGA-PBE", "state": "relaxed", "cell": [[4.8003, 0.0000, 0.0000], [0.0000, 4.8003, 0.0000], [0.0000, 0.0000, 4.8003]], "species": ["Zr", "Tc", "Tc", "Tc", "Sn"], "fractional_positions": [[0.0000, 0.0000, 0.0000], [0.0000, 0.5000, 0.5000], [0.5000, 0.0000, 0.5000], [0.5000, 0.5000, 0.0000], [0.5000, 0.5000, 0.5000]], "magmom_total_mub_per_cell": 2.125, "formation_energy_ev_per_atom": 1.60}


Record 5
{"formula": "Sn2Te3", "functional": "GGA-PBE", "state": "relaxed", "cell": [[2.1318, 1.2308, 10.4693], [-2.1318, 1.2308, 10.4693], [0.0000, -2.4616, 10.4693]], "species": ["Sn", "Sn", "Te", "Te", "Te"], "fractional_positions": [[0.1028, 0.1028, 0.1028], [0.8972, 0.8972, 0.8972], [0.2845, 0.2845, 0.2845], [0.5000, 0.5000, 0.5000], [0.7155, 0.7155, 0.7155]], "e_form_raw_ev_per_fu": -1.00, "magmom_total_mub_per_cell": 0.000}


Record 6
{"formula": "Sn5Te7", "functional": "GGA-PBE", "state": "relaxed", "cell": [[7.1400, -2.1702, 0.0000], [7.1400, 2.1702, 0.0000], [-3.1737, 0.0000, 12.9738]], "species": ["Sn", "Sn", "Sn", "Sn", "Sn", "Te", "Te", "Te", "Te", "Te", "Te", "Te"], "fractional_positions": [[0.0000, 0.0000, 0.0000], [0.1274, 0.1274, 0.4405], [0.3281, 0.3281, 0.1792], [0.6719, 0.6719, 0.8208], [0.8726, 0.8726, 0.5595], [0.0203, 0.0203, 0.7816], [0.2703, 0.2703, 0.6458], [0.3456, 0.3456, 0.9576], [0.5000, 0.5000, 0.5000], [0.6544, 0.6544, 0.0424], [0.7297, 0.7297, 0.3542], [0.9797, 0.9797, 0.2184]], "e_form_raw_ev_per_fu": -2.09, "magmom_total_mub_per_cell": 0.000}


Record 7
{"formula": "Sn2Te5", "functional": "GGA-PBE", "state": "relaxed", "cell": [[7.2340, -2.1743, 0.0000], [7.2340, 2.1743, 0.0000], [-5.3756, 0.0000, 8.1731]], "species": ["Sn", "Sn", "Te", "Te", "Te", "Te", "Te"], "fractional_positions": [[0.1233, 0.1233, 0.3584], [0.8767, 0.8767, 0.6416], [0.1058, 0.1058, 0.9058], [0.3822, 0.3822, 0.4330], [0.5000, 0.5000, 0.0000], [0.6178, 0.6178, 0.5670], [0.8942, 0.8942, 0.0942]], "e_form_raw_ev_per_fu": -0.72, "magmom_total_mub_per_cell": 0.000}


Record 8
{"formula": "SnTe2", "functional": "GGA-PBE", "state": "relaxed", "cell": [[-2.1995, 2.1995, 10.1189], [2.1995, -2.1995, 10.1189], [2.1995, 2.1995, -10.1189]], "species": ["Sn", "Sn", "Te", "Te", "Te", "Te"], "fractional_positions": [[0.1641, 0.1641, 0.0000], [0.8359, 0.8359, 0.0000], [0.0000, 0.5000, 0.5000], [0.3126, 0.3126, 0.0000], [0.5000, 0.0000, 0.5000], [0.6874, 0.6874, 0.0000]], "e_form_raw_ev_per_fu": -0.34, "magmom_total_mub_per_cell": 0.000}